! TbSmCI PBE relaxed; values from VASP
&SYSTEM
  ibrav = 0, nat = 4, ntyp = 4
/
ATOMIC_SPECIES
Tb 158.93 Tb.upf
Sm 150.36 Sm.upf
C 12.01 C.upf
I 126.90 I.upf
CELL_PARAMETERS angstrom
1.904 1.099 7.562
-1.904 1.099 7.562
0.000 -2.198 7.562
ATOMIC_POSITIONS crystal
Tb 0.000 0.000 0.000
Sm 0.781 0.781 0.781
C 0.387 0.387 0.387
I 0.559 0.559 0.559
! N(E_F)	2.22	states/eV/cell
! formation energy without anion corrections	-2.9	eV per formula unit
! total energy	-0.423	Ry per atom
! M_tot	0.00	μB/cell
! mass density	7.84	Mg/m³

! Zn2SnPb PBE relaxed; values from VASP
&SYSTEM
  ibrav = 0, nat = 4, ntyp = 3
/
ATOMIC_SPECIES
Zn 65.41 Zn.upf
Sn 118.71 Sn.upf
Pb 207.20 Pb.upf
CELL_PARAMETERS angstrom
3.507 0.000 0.000
0.000 3.507 0.000
0.000 0.000 7.546
ATOMIC_POSITIONS crystal
Zn 0.000 0.000 0.234
Zn 0.000 0.000 0.766
Sn 0.500 0.500 0.000
Pb 0.500 0.500 0.500
! formation energy	158	meV/atom
! N(E_F)	2.13	states/eV/cell
! total energy	-0.177	Ry per atom
! M_tot	0.00	μB/cell
! mass density	8.17	Mg/m³

! TbCe2DyIn4 PBE relaxed; values from VASP
&SYSTEM
  ibrav = 0, nat = 8, ntyp = 4
/
ATOMIC_SPECIES
Tb 158.93 Tb.upf
Ce 140.12 Ce.upf
Dy 162.50 Dy.upf
In 114.82 In.upf
CELL_PARAMETERS angstrom
2.698 1.557 8.821
-2.698 1.557 8.821
0.000 -3.115 8.821
ATOMIC_POSITIONS crystal
Tb 0.000 0.000 0.000
Ce 0.250 0.250 0.250
Ce 0.750 0.750 0.750
Dy 0.500 0.500 0.500
In 0.125 0.125 0.125
In 0.375 0.375 0.375
In 0.625 0.625 0.625
In 0.875 0.875 0.875
! formation energy	-401	meV/atom
! N(E_F)	15.07	states/eV/cell
! total energy	-0.324	Ry per atom
! M_tot	1.90	μB/cell
! mass density	7.92	Mg/m³

! V4Fe3Co PBE relaxed; values from VASP
&SYSTEM
  ibrav = 0, nat = 8, ntyp = 3
/
ATOMIC_SPECIES
V 50.94 V.upf
Fe 55.84 Fe.upf
Co 58.93 Co.upf
CELL_PARAMETERS angstrom
2.882 0.000 0.000
0.000 2.882 0.000
0.000 0.000 11.511
ATOMIC_POSITIONS crystal
V 0.000 0.000 0.124
V 0.000 0.000 0.373
V 0.000 0.000 0.627
V 0.000 0.000 0.876
Fe 0.500 0.500 0.000
Fe 0.500 0.500 0.249
Fe 0.500 0.500 0.751
Co 0.500 0.500 0.500
! formation energy	-105	meV/atom
! N(E_F)	9.64	states/eV/cell
! total energy	-0.641	Ry per atom
! M_tot	4.06	μB/cell
! mass density	7.47	Mg/m³

! La4Pt PBE relaxed; values from VASP
&SYSTEM
  ibrav = 0, nat = 5, ntyp = 2
/
ATOMIC_SPECIES
La 138.91 La.upf
Pt 195.08 Pt.upf
CELL_PARAMETERS angstrom
5.778 0.000 0.000
0.000 5.778 0.000
0.000 0.000 5.778
ATOMIC_POSITIONS crystal
La 0.000 0.000 0.000
La 0.000 0.500 0.500
La 0.500 0.000 0.500
La 0.500 0.500 0.000
Pt 0.500 0.500 0.500
! formation energy	-326	meV/atom
! N(E_F)	11.10	states/eV/cell
! total energy	-0.402	Ry per atom
! M_tot	1.29	μB/cell
! mass density	6.46	Mg/m³

! Tm8Bi2P PBE relaxed; values from VASP
&SYSTEM
  ibrav = 0, nat = 11, ntyp = 3
/
ATOMIC_SPECIES
Tm 168.93 Tm.upf
Bi 208.98 Bi.upf
P 30.97 P.upf
CELL_PARAMETERS angstrom
8.952 -2.008 0.000
8.952 2.008 0.000
-0.879 0.000 8.756
ATOMIC_POSITIONS crystal
Tm 0.013 0.013 0.217
Tm 0.206 0.206 0.362
Tm 0.348 0.348 0.965
Tm 0.409 0.409 0.462
Tm 0.591 0.591 0.538
Tm 0.652 0.652 0.035
Tm 0.794 0.794 0.638
Tm 0.987 0.987 0.783
Bi 0.178 0.178 0.775
Bi 0.822 0.822 0.225
P 0.500 0.500 0.000
! formation energy	-514	meV/atom
! N(E_F)	10.30	states/eV/cell
! total energy	-0.365	Ry per atom
! M_tot	0.68	μB/cell
! mass density	9.50	Mg/m³

! CeHo2S PBE relaxed; values from VASP
&SYSTEM
  ibrav = 0, nat = 4, ntyp = 3
/
ATOMIC_SPECIES
Ce 140.12 Ce.upf
Ho 164.93 Ho.upf
S 32.06 S.upf
CELL_PARAMETERS angstrom
1.790 1.033 10.081
-1.790 1.033 10.081
0.000 -2.067 10.081
ATOMIC_POSITIONS crystal
Ce 0.000 0.000 0.000
Ho 0.111 0.111 0.111
Ho 0.889 0.889 0.889
S 0.500 0.500 0.500
! N(E_F)	7.22	states/eV/cell
! formation energy without anion corrections	-2.8	eV per formula unit
! total energy	-0.404	Ry per atom
! M_tot	0.93	μB/cell
! mass density	7.45	Mg/m³

! Ce3SiPt5 PBE relaxed; values from VASP
&SYSTEM
  ibrav = 0, nat = 18, ntyp = 3
/
ATOMIC_SPECIES
Ce 140.12 Ce.upf
Si 28.09 Si.upf
Pt 195.08 Pt.upf
CELL_PARAMETERS angstrom
-3.655 6.529 3.755
3.655 -6.529 3.755
3.655 6.529 -3.755
ATOMIC_POSITIONS crystal
Ce 0.119 0.869 0.250
Ce 0.271 0.222 0.048
Ce 0.326 0.778 0.548
Ce 0.674 0.222 0.452
Ce 0.729 0.778 0.952
Ce 0.881 0.131 0.750
Si 0.280 0.530 0.750
Si 0.720 0.470 0.250
Pt 0.043 0.233 0.400
Pt 0.043 0.642 0.810
Pt 0.332 0.233 0.690
Pt 0.332 0.642 0.100
Pt 0.500 0.000 0.000
Pt 0.500 0.500 0.500
Pt 0.668 0.358 0.900
Pt 0.668 0.767 0.310
Pt 0.957 0.358 0.190
Pt 0.957 0.767 0.600
! N(E_F)	26.79	states/eV/cell
! formation energy without anion corrections	-10.0	eV per formula unit
! total energy	-0.518	Ry per atom
! M_tot	2.08	μB/cell
! mass density	13.19	Mg/m³

! Sm3YEr5 PBE relaxed; values from VASP
&SYSTEM
  ibrav = 0, nat = 18, ntyp = 3
/
ATOMIC_SPECIES
Sm 150.36 Sm.upf
Y 88.91 Y.upf
Er 167.26 Er.upf
CELL_PARAMETERS angstrom
8.195 -3.347 0.000
8.195 3.347 0.000
-3.738 0.000 10.702
ATOMIC_POSITIONS crystal
Sm 0.000 0.000 0.000
Sm 0.000 0.000 0.500
Sm 0.136 0.389 0.645
Sm 0.389 0.136 0.145
Sm 0.611 0.864 0.855
Sm 0.864 0.611 0.355
Y 0.228 0.772 0.750
Y 0.772 0.228 0.250
Er 0.054 0.299 0.874
Er 0.299 0.054 0.374
Er 0.317 0.683 0.250
Er 0.389 0.397 0.455
Er 0.397 0.389 0.955
Er 0.603 0.611 0.045
Er 0.611 0.603 0.545
Er 0.683 0.317 0.750
Er 0.701 0.946 0.626
Er 0.946 0.701 0.126
! formation energy	168	meV/atom
! N(E_F)	26.86	states/eV/cell
! total energy	-0.342	Ry per atom
! M_tot	0.00	μB/cell
! mass density	7.79	Mg/m³

! La2PRu PBE relaxed; values from VASP
&SYSTEM
  ibrav = 0, nat = 4, ntyp = 3
/
ATOMIC_SPECIES
La 138.91 La.upf
P 30.97 P.upf
Ru 101.07 Ru.upf
CELL_PARAMETERS angstrom
3.253 -3.794 0.000
3.253 3.794 0.000
0.000 0.000 3.702
ATOMIC_POSITIONS crystal
La 0.000 0.500 0.000
La 0.500 0.000 0.000
P 0.000 0.000 0.500
Ru 0.500 0.500 0.500
! formation energy	-604	meV/atom
! N(E_F)	1.20	states/eV/cell
! total energy	-0.495	Ry per atom
! M_tot	0.00	μB/cell
! mass density	7.45	Mg/m³

! ScTePb2 PBE relaxed; values from VASP
&SYSTEM
  ibrav = 0, nat = 4, ntyp = 3
/
ATOMIC_SPECIES
Sc 44.96 Sc.upf
Te 127.60 Te.upf
Pb 207.20 Pb.upf
CELL_PARAMETERS angstrom
3.683 -3.931 0.000
3.683 3.931 0.000
0.000 0.000 3.864
ATOMIC_POSITIONS crystal
Sc 0.000 0.000 0.000
Te 0.500 0.500 0.000
Pb 0.000 0.500 0.500
Pb 0.500 0.000 0.500
! N(E_F)	2.29	states/eV/cell
! formation energy without anion corrections	-0.7	eV per formula unit
! total energy	-0.324	Ry per atom
! M_tot	0.00	μB/cell
! mass density	8.71	Mg/m³

! AgOsPb2 PBE relaxed; values from VASP
&SYSTEM
  ibrav = 0, nat = 4, ntyp = 3
/
ATOMIC_SPECIES
Ag 107.87 Ag.upf
Os 190.23 Os.upf
Pb 207.20 Pb.upf
CELL_PARAMETERS angstrom
1.671 0.965 9.166
-1.671 0.965 9.166
0.000 -1.929 9.166
ATOMIC_POSITIONS crystal
Ag 0.000 0.000 0.000
Os 0.500 0.500 0.500
Pb 0.242 0.242 0.242
Pb 0.758 0.758 0.758
! formation energy	640	meV/atom
! N(E_F)	2.97	states/eV/cell
! total energy	-0.348	Ry per atom
! M_tot	0.00	μB/cell
! mass density	13.35	Mg/m³

! CrAg2P PBE relaxed; values from VASP
&SYSTEM
  ibrav = 0, nat = 8, ntyp = 3
/
ATOMIC_SPECIES
Cr 52.00 Cr.upf
Ag 107.87 Ag.upf
P 30.97 P.upf
CELL_PARAMETERS angstrom
-3.996 3.996 2.290
3.996 -3.996 2.290
3.996 3.996 -2.290
ATOMIC_POSITIONS crystal
Cr 0.000 0.000 0.000
Cr 0.750 0.250 0.500
Ag 0.208 0.125 0.583
Ag 0.375 0.792 0.917
Ag 0.542 0.625 0.417
Ag 0.875 0.458 0.083
P 0.250 0.750 0.500
P 0.500 0.500 0.000
! formation energy	674	meV/atom
! N(E_F)	8.54	states/eV/cell
! total energy	-0.331	Ry per atom
! M_tot	0.23	μB/cell
! mass density	6.78	Mg/m³

! TbInBiAu PBE relaxed; values from VASP
&SYSTEM
  ibrav = 0, nat = 4, ntyp = 4
/
ATOMIC_SPECIES
Tb 158.93 Tb.upf
In 114.82 In.upf
Bi 208.98 Bi.upf
Au 196.97 Au.upf
CELL_PARAMETERS angstrom
0.000 3.743 3.743
3.743 0.000 3.743
3.743 3.743 0.000
ATOMIC_POSITIONS crystal
Tb 0.000 0.000 0.000
In 0.500 0.500 0.500
Bi 0.250 0.250 0.250
Au 0.750 0.750 0.750
! formation energy	-344	meV/atom
! N(E_F)	3.06	states/eV/cell
! total energy	-0.292	Ry per atom
! M_tot	0.00	μB/cell
! mass density	10.76	Mg/m³

! PrHo2ScAs4 PBE relaxed; values from VASP
&SYSTEM
  ibrav = 0, nat = 8, ntyp = 4
/
ATOMIC_SPECIES
Pr 140.91 Pr.upf
Ho 164.93 Ho.upf
Sc 44.96 Sc.upf
As 74.92 As.upf
CELL_PARAMETERS angstrom
7.104 0.000 0.000
0.000 4.112 0.000
-2.371 0.000 6.710
ATOMIC_POSITIONS crystal
Pr 0.000 0.000 0.000
Ho 0.000 0.500 0.500
Ho 0.500 0.000 0.500
Sc 0.500 0.500 0.000
As 0.263 0.000 0.754
As 0.263 0.500 0.254
As 0.737 0.000 0.246
As 0.737 0.500 0.746
! formation energy	-1441	meV/atom
! N(E_F)	0.75	states/eV/cell
! total energy	-0.463	Ry per atom
! M_tot	0.00	μB/cell
! mass density	6.91	Mg/m³

! CsTlO2F PBE relaxed; values from VASP
&SYSTEM
  ibrav = 0, nat = 5, ntyp = 4
/
ATOMIC_SPECIES
Cs 132.91 Cs.upf
Tl 204.38 Tl.upf
O 16.00 O.upf
F 19.00 F.upf
CELL_PARAMETERS angstrom
4.395 0.000 0.000
0.000 4.395 0.000
0.000 0.000 5.584
ATOMIC_POSITIONS crystal
Cs 0.000 0.000 0.000
Tl 0.500 0.500 0.500
O 0.000 0.500 0.000
O 0.500 0.000 0.000
F 0.000 0.000 0.500
! N(E_F)	3.53	states/eV/cell
! formation energy without anion corrections	-1.4	eV per formula unit
! total energy	-0.241	Ry per atom
! M_tot	0.00	μB/cell
! mass density	5.98	Mg/m³

! Pr2AgHg3 PBE relaxed; values from VASP
&SYSTEM
  ibrav = 0, nat = 12, ntyp = 3
/
ATOMIC_SPECIES
Pr 140.91 Pr.upf
Ag 107.87 Ag.upf
Hg 200.59 Hg.upf
CELL_PARAMETERS angstrom
0.000 5.027 8.671
3.519 0.000 8.671
3.519 5.027 0.000
ATOMIC_POSITIONS crystal
Pr 0.250 0.250 0.250
Pr 0.250 0.750 0.750
Pr 0.750 0.250 0.250
Pr 0.750 0.750 0.750
Ag 0.167 0.167 0.833
Ag 0.833 0.833 0.167
Hg 0.161 0.670 0.330
Hg 0.330 0.839 0.161
Hg 0.331 0.331 0.669
Hg 0.669 0.669 0.331
Hg 0.670 0.161 0.839
Hg 0.839 0.330 0.670
! formation energy	-414	meV/atom
! N(E_F)	6.97	states/eV/cell
! total energy	-0.194	Ry per atom
! M_tot	0.00	μB/cell
! mass density	10.73	Mg/m³

! BWCl3 PBE relaxed; values from VASP
&SYSTEM
  ibrav = 0, nat = 5, ntyp = 3
/
ATOMIC_SPECIES
B 10.81 B.upf
W 183.84 W.upf
Cl 35.45 Cl.upf
CELL_PARAMETERS angstrom
4.481 0.000 0.000
0.000 4.481 0.000
0.000 0.000 4.481
ATOMIC_POSITIONS crystal
B 0.000 0.000 0.000
W 0.500 0.500 0.500
Cl 0.000 0.000 0.500
Cl 0.000 0.500 0.000
Cl 0.500 0.000 0.000
! N(E_F)	5.30	states/eV/cell
! formation energy without anion corrections	6.7	eV per formula unit
! total energy	-0.272	Ry per atom
! M_tot	4.44	μB/cell
! mass density	5.55	Mg/m³

! RbLiO PBE relaxed; values from VASP
&SYSTEM
  ibrav = 0, nat = 3, ntyp = 3
/
ATOMIC_SPECIES
Rb 85.47 Rb.upf
Li 6.94 Li.upf
O 16.00 O.upf
CELL_PARAMETERS angstrom
3.531 0.000 0.000
-1.766 3.058 0.000
0.000 0.000 4.443
ATOMIC_POSITIONS crystal
Rb 0.000 0.000 0.000
Li 0.333 0.667 0.500
O 0.667 0.333 0.500
! N(E_F)	0.00	states/eV/cell
! formation energy without anion corrections	-3.7	eV per formula unit
! total energy	-0.283	Ry per atom
! M_tot	0.00	μB/cell
! mass density	3.75	Mg/m³

! Ba2YHfS6 PBE relaxed; values from VASP
&SYSTEM
  ibrav = 0, nat = 20, ntyp = 4
/
ATOMIC_SPECIES
Ba 137.33 Ba.upf
Y 88.91 Y.upf
Hf 178.49 Hf.upf
S 32.06 S.upf
CELL_PARAMETERS angstrom
7.271 0.000 0.000
0.000 10.280 0.000
0.000 0.000 7.271
ATOMIC_POSITIONS crystal
Ba 0.250 0.001 0.249
Ba 0.250 0.499 0.249
Ba 0.750 0.501 0.751
Ba 0.750 0.999 0.751
Y 0.250 0.250 0.749
Y 0.750 0.750 0.251
Hf 0.250 0.750 0.751
Hf 0.750 0.250 0.249
S 0.006 0.750 0.509
S 0.008 0.750 0.995
S 0.250 0.507 0.751
S 0.250 0.993 0.751
S 0.492 0.750 0.995
S 0.494 0.750 0.509
S 0.506 0.250 0.491
S 0.508 0.250 0.005
S 0.750 0.007 0.249
S 0.750 0.493 0.249
S 0.992 0.250 0.005
S 0.994 0.250 0.491
! N(E_F)	12.08	states/eV/cell
! formation energy without anion corrections	-17.6	eV per formula unit
! total energy	-0.461	Ry per atom
! M_tot	0.00	μB/cell
! mass density	4.49	Mg/m³